1.
The following is a DFT calculation (meta-GGA SCAN) of Cs2KLuCl6 at its PBEsol-relaxed geometry.

The density of states at the Fermi level comes out at 0.000 states/eV per cell. The formation energy (no corrections) is -233 kJ per mole of atoms. The calculation puts the total energy at -211.30 eV for the cell shown.

Geometry as CIF:
```
data_Cs2KLuCl6
_cell_length_a 7.753
_cell_length_b 7.753
_cell_length_c 7.753
_cell_angle_alpha 60.00
_cell_angle_beta 60.00
_cell_angle_gamma 60.00
_symmetry_space_group_name_H-M 'P 1'
_symmetry_Int_Tables_number 1
loop_
_symmetry_equiv_pos_as_xyz
'x,y,z'
loop_
_atom_site_label
_atom_site_type_symbol
_atom_site_fract_x
_atom_site_fract_y
_atom_site_fract_z
Cl1 Cl 0.768 0.768 0.232
Cl2 Cl 0.232 0.768 0.768
Cl3 Cl 0.232 0.768 0.232
Cl4 Cl 0.768 0.232 0.232
Cl5 Cl 0.232 0.232 0.768
Cl6 Cl 0.768 0.232 0.768
Cs1 Cs 0.750 0.750 0.750
Cs2 Cs 0.250 0.250 0.250
Lu1 Lu 0.000 0.000 0.000
K1 K 0.500 0.500 0.500
```


2.
The following is a DFT calculation (meta-GGA SCAN) of LiCaIn2 at its PBEsol-relaxed geometry.

The density of states at the Fermi level comes out at 1.568 states/eV per cell. The calculation puts the total energy at -80.29 eV for the cell shown.

Geometry as CIF:
```
data_LiCaIn2
_cell_length_a 3.986
_cell_length_b 5.057
_cell_length_c 5.904
_cell_angle_alpha 115.36
_cell_angle_beta 109.73
_cell_angle_gamma 90.00
_symmetry_space_group_name_H-M 'P 1'
_symmetry_Int_Tables_number 1
loop_
_symmetry_equiv_pos_as_xyz
'x,y,z'
loop_
_atom_site_label
_atom_site_type_symbol
_atom_site_fract_x
_atom_site_fract_y
_atom_site_fract_z
Li1 Li 0.486 0.486 0.971
In1 In 0.015 0.015 0.031
In2 In 0.743 0.243 0.485
Ca1 Ca 0.257 0.757 0.513
```


3.
The following is a DFT calculation (meta-GGA SCAN) of TlTcMo2 at its PBEsol-relaxed geometry.

The density of states at the Fermi level comes out at 3.328 states/eV per cell. The calculation puts the total energy at -175.11 eV for the cell shown.

Geometry as CIF:
```
data_TlTcMo2
_cell_length_a 3.390
_cell_length_b 3.390
_cell_length_c 5.898
_cell_angle_alpha 90.00
_cell_angle_beta 90.00
_cell_angle_gamma 90.00
_symmetry_space_group_name_H-M 'P 1'
_symmetry_Int_Tables_number 1
loop_
_symmetry_equiv_pos_as_xyz
'x,y,z'
loop_
_atom_site_label
_atom_site_type_symbol
_atom_site_fract_x
_atom_site_fract_y
_atom_site_fract_z
Tl1 Tl 0.500 0.500 0.500
Mo1 Mo 0.000 0.000 0.798
Mo2 Mo 0.000 0.000 0.202
Tc1 Tc 0.500 0.500 0.000
```


4.
The following is a DFT calculation (meta-GGA SCAN) of SrLaRh3 at its PBEsol-relaxed geometry.

The density of states at the Fermi level comes out at 0.711 states/eV per cell. The calculation puts the total energy at -165.08 eV for the cell shown.

Geometry as CIF:
```
data_SrLaRh3
_cell_length_a 4.915
_cell_length_b 4.915
_cell_length_c 4.915
_cell_angle_alpha 90.00
_cell_angle_beta 90.00
_cell_angle_gamma 90.00
_symmetry_space_group_name_H-M 'P 1'
_symmetry_Int_Tables_number 1
loop_
_symmetry_equiv_pos_as_xyz
'x,y,z'
loop_
_atom_site_label
_atom_site_type_symbol
_atom_site_fract_x
_atom_site_fract_y
_atom_site_fract_z
Rh1 Rh 0.000 0.500 0.000
Rh2 Rh 0.500 0.000 0.000
Rh3 Rh 0.000 0.000 0.500
Sr1 Sr 0.500 0.500 0.500
La1 La 0.000 0.000 0.000
```


5.
The following is a DFT calculation (meta-GGA SCAN) of KCaSN2 at its PBEsol-relaxed geometry.

The density of states at the Fermi level comes out at 1.183 states/eV per cell. The formation energy (no corrections) is 98 kJ per mole of atoms. The calculation puts the total energy at -41.10 eV for the cell shown.

Geometry as CIF:
```
data_KCaSN2
_cell_length_a 4.635
_cell_length_b 4.635
_cell_length_c 5.703
_cell_angle_alpha 90.00
_cell_angle_beta 90.00
_cell_angle_gamma 90.00
_symmetry_space_group_name_H-M 'P 1'
_symmetry_Int_Tables_number 1
loop_
_symmetry_equiv_pos_as_xyz
'x,y,z'
loop_
_atom_site_label
_atom_site_type_symbol
_atom_site_fract_x
_atom_site_fract_y
_atom_site_fract_z
S1 S 0.000 0.000 0.500
Ca1 Ca 0.500 0.500 0.500
K1 K 0.000 0.000 0.000
N1 N 0.500 0.000 0.000
N2 N 0.000 0.500 0.000
```


6.
The following is a DFT calculation (meta-GGA SCAN) of HgIN3 at its PBEsol-relaxed geometry.

The density of states at the Fermi level comes out at 3.550 states/eV per cell. The formation energy (no corrections) is 263 kJ per mole of atoms. The calculation puts the total energy at -119.15 eV for the cell shown.

Geometry as CIF:
```
data_HgIN3
_cell_length_a 4.215
_cell_length_b 4.215
_cell_length_c 4.215
_cell_angle_alpha 90.00
_cell_angle_beta 90.00
_cell_angle_gamma 90.00
_symmetry_space_group_name_H-M 'P 1'
_symmetry_Int_Tables_number 1
loop_
_symmetry_equiv_pos_as_xyz
'x,y,z'
loop_
_atom_site_label
_atom_site_type_symbol
_atom_site_fract_x
_atom_site_fract_y
_atom_site_fract_z
Hg1 Hg 0.000 0.000 0.000
N1 N 0.000 0.500 0.000
N2 N 0.500 0.000 0.000
N3 N 0.000 0.000 0.500
I1 I 0.500 0.500 0.500
```


7.
The following is a DFT calculation (meta-GGA SCAN) of KTcCl2 at its PBEsol-relaxed geometry.

The density of states at the Fermi level comes out at 0.912 states/eV per cell. The formation energy (no corrections) is -54 kJ per mole of atoms. The calculation puts the total energy at -61.58 eV for the cell shown.

Geometry as CIF:
```
data_KTcCl2
_cell_length_a 3.434
_cell_length_b 5.673
_cell_length_c 5.673
_cell_angle_alpha 66.79
_cell_angle_beta 72.38
_cell_angle_gamma 72.38
_symmetry_space_group_name_H-M 'P 1'
_symmetry_Int_Tables_number 1
loop_
_symmetry_equiv_pos_as_xyz
'x,y,z'
loop_
_atom_site_label
_atom_site_type_symbol
_atom_site_fract_x
_atom_site_fract_y
_atom_site_fract_z
Cl1 Cl 0.685 0.315 0.315
Cl2 Cl 0.315 0.685 0.685
K1 K 0.500 0.000 0.000
Tc1 Tc 0.000 0.500 0.500
```


8.
The following is a DFT calculation (meta-GGA SCAN) of K2CoI4 at its PBEsol-relaxed geometry.

The density of states at the Fermi level comes out at 0.000 states/eV per cell. The formation energy (no corrections) is -101 kJ per mole of atoms. The calculation puts the total energy at -376.49 eV for the cell shown.

Geometry as CIF:
```
data_K2CoI4
_cell_length_a 7.523
_cell_length_b 7.890
_cell_length_c 9.659
_cell_angle_alpha 90.00
_cell_angle_beta 108.76
_cell_angle_gamma 90.00
_symmetry_space_group_name_H-M 'P 1'
_symmetry_Int_Tables_number 1
loop_
_symmetry_equiv_pos_as_xyz
'x,y,z'
loop_
_atom_site_label
_atom_site_type_symbol
_atom_site_fract_x
_atom_site_fract_y
_atom_site_fract_z
Co1 Co 0.791 0.750 0.705
Co2 Co 0.209 0.250 0.295
K1 K 0.729 0.250 0.926
K2 K 0.783 0.250 0.452
K3 K 0.271 0.750 0.074
K4 K 0.217 0.750 0.548
I1 I 0.989 0.503 0.234
I2 I 0.616 0.750 0.433
I3 I 0.589 0.750 0.871
I4 I 0.411 0.250 0.129
I5 I 0.384 0.250 0.567
I6 I 0.011 0.497 0.766
I7 I 0.989 0.997 0.234
I8 I 0.011 0.003 0.766
```